#one
Density functional theory data (PBEsol) for crystalline NaPdCl2 at its relaxed geometry.

a b c (Å): 8.0873 8.0873 8.0873
angles (deg): 25.93 25.93 25.93
Element x y z (fractional)
Na 0.0000 0.0000 0.0000
Pd 0.5000 0.5000 0.5000
Cl 0.4038 0.4038 0.4038
Cl 0.5962 0.5962 0.5962

Crystal system: trigonal
DOS(E_F): 3.60 states/eV/cell
Magnetic moment: 0.00 μB per formula unit

#two
Density functional theory data (PBEsol) for crystalline NaPdCl2 at its relaxed geometry.

a b c (Å): 7.8317 7.8317 7.8317
angles (deg): 140.02 140.02 57.82
Element x y z (fractional)
Na 0.0000 0.0000 0.0000
Na 0.7500 0.2500 0.5000
Pd 0.2500 0.7500 0.5000
Pd 0.5000 0.5000 0.0000
Cl 0.1700 0.6250 0.0450
Cl 0.3750 0.4200 0.5450
Cl 0.5800 0.1250 0.9550
Cl 0.8750 0.8300 0.4550

Crystal system: tetragonal
DOS(E_F): 3.96 states/eV/cell
Magnetic moment: 1.01 μB per formula unit

Stability summary: most stable #two, least stable #one.